[1]
Here is an optimized crystal structure of NdCuSnSeS2 from OQMD via LeMat-Bulk. Energies are from GGA-PBE.

Lattice parameters (Å, degrees): 3.945 13.378 10.645 90.00 90.00 90.00
Space group Cmcm (No. 63)
Asymmetric unit:
Nd1 0.000 0.000 0.000 (multiplicity 4)
Cu1 0.000 0.473 0.250 (multiplicity 4)
Sn1 0.000 0.228 0.750 (multiplicity 4)
Se1 0.000 0.092 0.250 (multiplicity 4)
S1 0.000 0.363 0.080 (multiplicity 8)


[2]
Here is an optimized crystal structure of SrNdCuSeS2 from OQMD via LeMat-Bulk. Energies are from GGA-PBE.

Lattice parameters (Å, degrees): 4.049 13.380 10.884 90.00 90.00 90.00
Space group Cmcm (No. 63)
Asymmetric unit:
Sr1 0.000 0.238 0.250 (multiplicity 4)
Nd1 0.000 0.000 0.000 (multiplicity 4)
Cu1 0.000 0.472 0.750 (multiplicity 4)
Se1 0.000 0.086 0.750 (multiplicity 4)
S1 0.000 0.366 0.580 (multiplicity 8)


[3]
Here is an optimized crystal structure of Nd3CuSnS7 from OQMD via LeMat-Bulk. Energies are from GGA-PBE.

Lattice parameters (Å, degrees): 10.1572 10.1572 6.0823 90.00 90.00 120.00
Space group P6_3 (No. 173)
Asymmetric unit:
Nd1 0.1359 0.3569 0.0000 (multiplicity 6)
Cu1 0.0000 0.0000 0.0517 (multiplicity 2)
Sn1 0.3333 0.6667 0.4275 (multiplicity 2)
S1 0.0877 0.5728 0.2540 (multiplicity 6)
S2 0.0996 0.2549 0.5381 (multiplicity 6)
S3 0.3333 0.6667 0.8176 (multiplicity 2)


[4]
Here is an optimized crystal structure of NdCuSnS3 from OQMD via LeMat-Bulk. Energies are from GGA-PBE.

Lattice parameters (Å, degrees): 18.239 3.967 7.892 90.00 104.36 90.00
Space group C2/m (No. 12)
Asymmetric unit:
Nd1 0.161 0.000 0.084 (multiplicity 4)
Cu1 0.037 0.500 0.202 (multiplicity 4)
Sn1 0.117 0.000 0.563 (multiplicity 4)
S1 0.000 0.000 0.000 (multiplicity 2)
S2 0.000 0.500 0.500 (multiplicity 2)
S3 0.166 0.500 0.334 (multiplicity 4)
S4 0.176 0.500 0.841 (multiplicity 4)


[5]
Here is an optimized crystal structure of SrNdCuS3 from OQMD via LeMat-Bulk. Energies are from GGA-PBE.

Lattice parameters (Å, degrees): 18.024 4.023 8.063 90.00 103.54 90.00
Space group C2/m (No. 12)
Asymmetric unit:
Sr1 0.124 0.000 0.071 (multiplicity 4)
Nd1 0.162 0.000 0.586 (multiplicity 4)
Cu1 0.035 0.500 0.714 (multiplicity 4)
S1 0.000 0.000 0.500 (multiplicity 2)
S2 0.000 0.500 0.000 (multiplicity 2)
S3 0.168 0.500 0.830 (multiplicity 4)
S4 0.175 0.500 0.349 (multiplicity 4)


[6]
Here is an optimized crystal structure of SrNdCuS3 from OQMD via LeMat-Bulk. Energies are from GGA-PBE.

Lattice parameters (Å, degrees): 10.637 4.009 12.966 90.00 90.00 90.00
Space group Pnma (No. 62)
Asymmetric unit:
Sr1 0.212 0.250 0.003 (multiplicity 4)
Nd1 0.017 0.750 0.267 (multiplicity 4)
Cu1 0.233 0.750 0.778 (multiplicity 4)
S1 0.051 0.750 0.881 (multiplicity 4)
S2 0.105 0.250 0.400 (multiplicity 4)
S3 0.241 0.250 0.674 (multiplicity 4)


[7]
Here is an optimized crystal structure of SrNdCuS3 from OQMD via LeMat-Bulk. Energies are from GGA-PBE.

Lattice parameters (Å, degrees): 11.106 4.102 11.525 90.00 90.00 90.00
Space group Pnma (No. 62)
Asymmetric unit:
Sr1 0.182 0.250 0.006 (multiplicity 4)
Nd1 0.013 0.250 0.683 (multiplicity 4)
Cu1 0.244 0.750 0.788 (multiplicity 4)
S1 0.048 0.750 0.857 (multiplicity 4)
S2 0.113 0.250 0.440 (multiplicity 4)
S3 0.224 0.750 0.194 (multiplicity 4)


[8]
Here is an optimized crystal structure of SrNdCuTeS2 from OQMD via LeMat-Bulk. Energies are from GGA-PBE.

Lattice parameters (Å, degrees): 4.081 14.262 11.176 90.00 90.00 90.00
Space group Cmcm (No. 63)
Asymmetric unit:
Sr1 0.000 0.212 0.250 (multiplicity 4)
Nd1 0.000 0.000 0.000 (multiplicity 4)
Cu1 0.000 0.482 0.750 (multiplicity 4)
Te1 0.000 0.102 0.750 (multiplicity 4)
S1 0.000 0.379 0.586 (multiplicity 8)


[9]
Here is an optimized crystal structure of NdTlCu3S4 from OQMD via LeMat-Bulk. Energies are from GGA-PBE.

Lattice parameters (Å, degrees): 6.056 6.056 6.056 90.00 90.00 90.00
Space group P-43m (No. 215)
Asymmetric unit:
Nd1 0.000 0.000 0.000 (multiplicity 1)
Tl1 0.500 0.500 0.500 (multiplicity 1)
Cu1 0.000 0.000 0.500 (multiplicity 3)
S1 0.245 0.245 0.755 (multiplicity 4)


[10]
Here is an optimized crystal structure of Nd3Cu3Sb4 from OQMD via LeMat-Bulk. Energies are from GGA-PBE.

Lattice parameters (Å, degrees): 9.753 9.753 9.753 90.00 90.00 90.00
Space group I-43d (No. 220)
Asymmetric unit:
Nd1 0.000 0.250 0.375 (multiplicity 12)
Cu1 0.000 0.250 0.875 (multiplicity 12)
Sb1 0.080 0.080 0.080 (multiplicity 16)


[11]
Here is an optimized crystal structure of Nd2CuSb4 from OQMD via LeMat-Bulk. Energies are from GGA-PBE.

Lattice parameters (Å, degrees): 4.409 4.409 9.664 90.00 90.00 90.00
Space group P-4m2 (No. 115)
Asymmetric unit:
Nd1 0.000 0.500 0.237 (multiplicity 2)
Cu1 0.500 0.500 0.000 (multiplicity 1)
Sb1 0.000 0.000 0.500 (multiplicity 1)
Sb2 0.000 0.500 0.862 (multiplicity 2)
Sb3 0.500 0.500 0.500 (multiplicity 1)


[12]
Here is an optimized crystal structure of Nd2CuSb4Se from OQMD via LeMat-Bulk. Energies are from GGA-PBE.

Lattice parameters (Å, degrees): 4.520 4.520 9.953 90.00 90.00 90.00
Space group P-4m2 (No. 115)
Asymmetric unit:
Nd1 0.000 0.500 0.246 (multiplicity 2)
Cu1 0.500 0.500 0.000 (multiplicity 1)
Sb1 0.000 0.000 0.500 (multiplicity 1)
Sb2 0.000 0.500 0.793 (multiplicity 2)
Sb3 0.500 0.500 0.500 (multiplicity 1)
Se1 0.000 0.000 0.000 (multiplicity 1)


Number 1: volume 23.408 A^3/atom, E -120.471 eV/cell. Number 2: volume 24.572 A^3/atom, E -126.364 eV/cell. Number 3: volume 22.643 A^3/atom, E -136.461 eV/cell. Number 4: volume 23.046 A^3/atom, E -122.190 eV/cell. Number 5: volume 23.681 A^3/atom, E -127.695 eV/cell. Number 6: volume 23.039 A^3/atom, E -130.169 eV/cell. Number 7: volume 21.873 A^3/atom, E -129.943 eV/cell. Number 8: volume 27.104 A^3/atom, E -121.965 eV/cell. Number 9: volume 24.675 A^3/atom, E -37.820 eV/cell. Number 10: volume 23.195 A^3/atom, E -198.661 eV/cell. Number 11: volume 26.838 A^3/atom, E -34.883 eV/cell. Number 12: volume 25.416 A^3/atom, E -37.175 eV/cell.